No. 1
Nd2Er8Sc3 | PBE | relaxed

ρ	7.19	g/cm3

Cell and atoms, written as CIF:
```
data_Nd2Er8Sc3
_chemical_formula_sum 'Nd4 Er16 Sc6'
_symmetry_space_group_name_H-M 'C m m m'
_symmetry_Int_Tables_number 65
_symmetry_space_group_name_Hall '-C 2 2'
_cell_length_a 7.481
_cell_length_b 20.163
_cell_length_c 5.394
_cell_angle_alpha 90.00
_cell_angle_beta 90.00
_cell_angle_gamma 90.00
loop_
_atom_site_label
_atom_site_type_symbol
_atom_site_fract_x
_atom_site_fract_y
_atom_site_fract_z
Nd1 Nd 0.000 0.239 0.000
Er1 Er 0.000 0.121 0.500
Er2 Er 0.000 0.342 0.500
Er3 Er 0.212 0.400 0.000
Sc1 Sc 0.000 0.000 0.000
Sc2 Sc 0.208 0.500 0.500
```

No. 2
NdErSc2 | PBE | relaxed

ρ	5.86	g/cm3

Cell and atoms, written as CIF:
```
data_NdErSc2
_chemical_formula_sum 'Nd1 Er1 Sc2'
_symmetry_space_group_name_H-M 'P 4/m m m'
_symmetry_Int_Tables_number 123
_symmetry_space_group_name_Hall '-P 4 2'
_cell_length_a 4.933
_cell_length_b 4.933
_cell_length_c 4.671
_cell_angle_alpha 90.00
_cell_angle_beta 90.00
_cell_angle_gamma 90.00
loop_
_atom_site_label
_atom_site_type_symbol
_atom_site_fract_x
_atom_site_fract_y
_atom_site_fract_z
Nd1 Nd 0.000 0.000 0.000
Er1 Er 0.500 0.500 0.000
Sc1 Sc 0.000 0.500 0.500
```

| no. | energy of formation from the pure elements (eV per atom) | total moment (μB/f.u.) |
| --- | --- | --- |
| 1 | 0.235 | 0.0 |
| 2 | 0.057 | 0.0 |